CsTl5Cl6: relaxed, PBE.

Results
Electronic total energy = -3.1516 eV per atom
Mass density = 5.27 Mg/m³
Space-group type = C2/m

a = 8.080 Å, b = 8.080 Å, c = 8.071 Å
α = 99.61°, β = 99.61°, γ = 119.84°
Atoms (fractional coordinates):
Cs1 0.000 0.000 0.000
Tl1 0.167 0.833 0.500
Tl2 0.334 0.666 0.000
Tl3 0.500 0.500 0.500
Tl4 0.666 0.334 0.000
Tl5 0.833 0.167 0.500
Cl1 0.087 0.435 0.259
Cl2 0.267 0.267 0.751
Cl3 0.435 0.087 0.259
Cl4 0.565 0.913 0.741
Cl5 0.733 0.733 0.249
Cl6 0.913 0.565 0.741